(1)
This record from Alexandria describes a geometry-optimized HfBe2Ni3 structure. The functional is GGA-PBE.

Summary:
For the magnetic moment, the calculation gives 0.00 μB/f.u. The total energy is -0.2282 Ha/atom.

Unit cell a=8.231 b=8.231 c=3.518 alpha=90.00 beta=90.00 gamma=120.00
Sites, in units of the cell vectors:
Hf: 0.000 0.000 0.000
Hf: 0.333 0.667 0.500
Hf: 0.667 0.333 0.500
Be: 0.189 0.377 0.000
Be: 0.189 0.811 0.000
Be: 0.377 0.189 0.000
Be: 0.623 0.811 0.000
Be: 0.811 0.189 0.000
Be: 0.811 0.623 0.000
Ni: 0.000 0.292 0.500
Ni: 0.000 0.500 0.000
Ni: 0.000 0.708 0.500
Ni: 0.292 0.000 0.500
Ni: 0.292 0.292 0.500
Ni: 0.500 0.000 0.000
Ni: 0.500 0.500 0.000
Ni: 0.708 0.000 0.500
Ni: 0.708 0.708 0.500

(2)
This record from Alexandria describes a geometry-optimized HfBeNi structure. The functional is GGA-PBE.

Summary:
For the magnetic moment, the calculation gives 0.00 μB/f.u. The total energy is -0.2507 Ha/atom.

Unit cell a=3.909 b=3.909 c=3.116 alpha=90.00 beta=90.00 gamma=120.00
Sites, in units of the cell vectors:
Hf: 0.000 0.000 0.000
Be: 0.333 0.667 0.500
Ni: 0.667 0.333 0.500

(3)
This record from Alexandria describes a geometry-optimized Hf2Be2Ni structure. The functional is GGA-PBE.

Summary:
For the magnetic moment, the calculation gives 0.00 μB/f.u. The total energy is -0.2533 Ha/atom.

Unit cell a=6.231 b=6.231 c=3.663 alpha=90.00 beta=90.00 gamma=90.00
Sites, in units of the cell vectors:
Hf: 0.174 0.326 0.000
Hf: 0.326 0.826 0.000
Hf: 0.674 0.174 0.000
Hf: 0.826 0.674 0.000
Be: 0.124 0.624 0.500
Be: 0.376 0.124 0.500
Be: 0.624 0.876 0.500
Be: 0.876 0.376 0.500
Ni: 0.000 0.000 0.500
Ni: 0.500 0.500 0.500

(4)
This record from Alexandria describes a geometry-optimized Hf2BeNi2 structure. The functional is GGA-PBE.

Summary:
For the magnetic moment, the calculation gives 0.00 μB/f.u. The total energy is -0.2572 Ha/atom.

Unit cell a=7.201 b=7.201 c=3.105 alpha=90.00 beta=90.00 gamma=90.00
Sites, in units of the cell vectors:
Hf: 0.167 0.333 0.000
Hf: 0.333 0.833 0.000
Hf: 0.667 0.167 0.000
Hf: 0.833 0.667 0.000
Be: 0.000 0.000 0.000
Be: 0.500 0.500 0.000
Ni: 0.128 0.628 0.500
Ni: 0.372 0.128 0.500
Ni: 0.628 0.872 0.500
Ni: 0.872 0.372 0.500

(5)
This record from Alexandria describes a geometry-optimized HfBe3Ni10 structure. The functional is GGA-PBE.

Summary:
For the magnetic moment, the calculation gives 1.20 μB/f.u. The total energy is -0.2144 Ha/atom.

Unit cell a=7.618 b=7.618 c=7.618 alpha=60.00 beta=60.00 gamma=60.00
Sites, in units of the cell vectors:
Hf: 0.250 0.250 0.250
Hf: 0.750 0.750 0.750
Be: 0.228 0.228 0.772
Be: 0.228 0.772 0.228
Be: 0.228 0.772 0.772
Be: 0.772 0.228 0.228
Be: 0.772 0.228 0.772
Be: 0.772 0.772 0.228
Ni: 0.117 0.117 0.117
Ni: 0.117 0.117 0.648
Ni: 0.117 0.648 0.117
Ni: 0.158 0.500 0.500
Ni: 0.158 0.500 0.842
Ni: 0.158 0.842 0.500
Ni: 0.352 0.883 0.883
Ni: 0.500 0.158 0.500
Ni: 0.500 0.158 0.842
Ni: 0.500 0.500 0.158
Ni: 0.500 0.500 0.842
Ni: 0.500 0.842 0.158
Ni: 0.500 0.842 0.500
Ni: 0.648 0.117 0.117
Ni: 0.842 0.158 0.500
Ni: 0.842 0.500 0.158
Ni: 0.842 0.500 0.500
Ni: 0.883 0.352 0.883
Ni: 0.883 0.883 0.352
Ni: 0.883 0.883 0.883

(6)
This record from Alexandria describes a geometry-optimized HfBe4Ni structure. The functional is GGA-PBE.

Summary:
For the magnetic moment, the calculation gives 1.84 μB/f.u. The total energy is -0.1929 Ha/atom.

Unit cell a=4.498 b=4.498 c=4.498 alpha=60.00 beta=60.00 gamma=60.00
Sites, in units of the cell vectors:
Hf: 0.000 0.000 0.000
Be: 0.374 0.374 0.374
Be: 0.374 0.374 0.877
Be: 0.374 0.877 0.374
Be: 0.877 0.374 0.374
Ni: 0.750 0.750 0.750

(7)
This record from Alexandria describes a geometry-optimized Hf2Be6Ni21 structure. The functional is GGA-PBE.

Summary:
For the magnetic moment, the calculation gives 1.97 μB/f.u. The total energy is -0.2171 Ha/atom.

Unit cell a=7.619 b=7.619 c=7.619 alpha=60.00 beta=60.00 gamma=60.00
Sites, in units of the cell vectors:
Hf: 0.250 0.250 0.250
Hf: 0.750 0.750 0.750
Be: 0.230 0.230 0.770
Be: 0.230 0.770 0.230
Be: 0.230 0.770 0.770
Be: 0.770 0.230 0.230
Be: 0.770 0.230 0.770
Be: 0.770 0.770 0.230
Ni: 0.117 0.117 0.117
Ni: 0.117 0.117 0.649
Ni: 0.117 0.649 0.117
Ni: 0.157 0.500 0.500
Ni: 0.157 0.500 0.843
Ni: 0.157 0.843 0.500
Ni: 0.351 0.883 0.883
Ni: 0.500 0.157 0.500
Ni: 0.500 0.157 0.843
Ni: 0.500 0.500 0.157
Ni: 0.500 0.500 0.500
Ni: 0.500 0.500 0.843
Ni: 0.500 0.843 0.157
Ni: 0.500 0.843 0.500
Ni: 0.649 0.117 0.117
Ni: 0.843 0.157 0.500
Ni: 0.843 0.500 0.157
Ni: 0.843 0.500 0.500
Ni: 0.883 0.351 0.883
Ni: 0.883 0.883 0.351
Ni: 0.883 0.883 0.883

(8)
This record from Alexandria describes a geometry-optimized HfBe2Ni structure. The functional is GGA-PBE.

Summary:
For the magnetic moment, the calculation gives 0.00 μB/f.u. The total energy is -0.2195 Ha/atom.

Unit cell a=2.841 b=2.841 c=5.987 alpha=90.00 beta=90.00 gamma=90.00
Sites, in units of the cell vectors:
Hf: 0.000 0.000 0.000
Be: 0.500 0.500 0.313
Be: 0.500 0.500 0.687
Ni: 0.000 0.000 0.500

(9)
This record from Alexandria describes a geometry-optimized Hf3Be6Ni20 structure. The functional is GGA-PBE.

Summary:
For the magnetic moment, the calculation gives 0.00 μB/f.u. The total energy is -0.2257 Ha/atom.

Unit cell a=7.682 b=7.682 c=7.682 alpha=60.00 beta=60.00 gamma=60.00
Sites, in units of the cell vectors:
Hf: 0.000 0.000 0.000
Hf: 0.250 0.250 0.250
Hf: 0.750 0.750 0.750
Be: 0.270 0.270 0.730
Be: 0.270 0.730 0.270
Be: 0.270 0.730 0.730
Be: 0.730 0.270 0.270
Be: 0.730 0.270 0.730
Be: 0.730 0.730 0.270
Ni: 0.000 0.000 0.345
Ni: 0.000 0.000 0.655
Ni: 0.000 0.345 0.000
Ni: 0.000 0.345 0.655
Ni: 0.000 0.655 0.000
Ni: 0.000 0.655 0.345
Ni: 0.149 0.617 0.617
Ni: 0.345 0.000 0.000
Ni: 0.345 0.000 0.655
Ni: 0.345 0.655 0.000
Ni: 0.383 0.383 0.383
Ni: 0.383 0.383 0.851
Ni: 0.383 0.851 0.383
Ni: 0.617 0.149 0.617
Ni: 0.617 0.617 0.149
Ni: 0.617 0.617 0.617
Ni: 0.655 0.000 0.000
Ni: 0.655 0.000 0.345
Ni: 0.655 0.345 0.000
Ni: 0.851 0.383 0.383

(10)
This record from Alexandria describes a geometry-optimized HfBe5Ni structure. The functional is GGA-PBE.

Summary:
For the magnetic moment, the calculation gives 0.00 μB/f.u. The total energy is -0.1923 Ha/atom.

Unit cell a=7.244 b=4.284 c=9.040 alpha=90.00 beta=90.00 gamma=90.00
Sites, in units of the cell vectors:
Hf: 0.234 0.250 0.064
Hf: 0.266 0.750 0.564
Hf: 0.734 0.250 0.436
Hf: 0.766 0.750 0.936
Be: 0.040 0.750 0.108
Be: 0.060 0.007 0.312
Be: 0.060 0.493 0.312
Be: 0.080 0.250 0.515
Be: 0.197 0.250 0.748
Be: 0.303 0.750 0.248
Be: 0.420 0.750 0.015
Be: 0.440 0.507 0.812
Be: 0.440 0.993 0.812
Be: 0.460 0.250 0.608
Be: 0.540 0.750 0.392
Be: 0.560 0.007 0.188
Be: 0.560 0.493 0.188
Be: 0.580 0.250 0.985
Be: 0.697 0.250 0.752
Be: 0.803 0.750 0.252
Be: 0.920 0.750 0.485
Be: 0.940 0.507 0.688
Be: 0.940 0.993 0.688
Be: 0.960 0.250 0.892
Ni: 0.144 0.750 0.862
Ni: 0.356 0.250 0.362
Ni: 0.644 0.750 0.638
Ni: 0.856 0.250 0.138

(11)
This record from Alexandria describes a geometry-optimized HfBe3Ni2 structure. The functional is GGA-PBE.

Summary:
For the magnetic moment, the calculation gives 0.00 μB/f.u. The total energy is -0.2169 Ha/atom.

Unit cell a=4.593 b=4.593 c=3.674 alpha=90.00 beta=90.00 gamma=120.00
Sites, in units of the cell vectors:
Hf: 0.000 0.000 0.000
Be: 0.000 0.500 0.500
Be: 0.500 0.000 0.500
Be: 0.500 0.500 0.500
Ni: 0.333 0.667 0.000
Ni: 0.667 0.333 0.000

(12)
This record from Alexandria describes a geometry-optimized Hf4BeNi2 structure. The functional is GGA-PBE.

Summary:
For the magnetic moment, the calculation gives 0.00 μB/f.u. The total energy is -0.2805 Ha/atom.

Unit cell a=7.051 b=7.051 c=7.051 alpha=142.13 beta=142.13 gamma=54.63
Sites, in units of the cell vectors:
Hf: 0.000 0.500 0.500
Hf: 0.195 0.195 0.000
Hf: 0.500 0.000 0.500
Hf: 0.805 0.805 0.000
Be: 0.000 0.000 0.000
Ni: 0.390 0.390 0.000
Ni: 0.610 0.610 0.000